Material: Ba2TeOsC
Method: DFT, GGA-PBE
State: optimized geometry

Unit cell a=6.0331 b=6.0331 c=3.9654 alpha=90.00 beta=90.00 gamma=90.00
Last column: nearest neighbours and their distance in Å.
Sites, in units of the cell vectors:
Ba 0.5000 0.0000 0.0000  2 C 3.02
Ba 0.0000 0.5000 0.0000  2 C 3.02
C 0.0000 0.0000 0.0000  2 Os 1.98
Os 0.0000 0.0000 0.5000  2 C 1.98
Te 0.5000 0.5000 0.5000  8 Ba 3.61, 2 Te 3.97

Formation energy (no corrections) in kJ/mol of formula units: -111.3
Calculated volume in Å³/atom: 28.87
Electronic total energy in eV/cell: -28.6

Material: YZr2Os
Method: DFT, GGA-PBE
State: optimized geometry

Unit cell a=9.8319 b=9.8319 c=9.8319 alpha=19.44 beta=19.44 gamma=19.44
Last column: nearest neighbours and their distance in Å.
Sites, in units of the cell vectors:
Zr 0.5156 0.5156 0.5156  3 Os 2.74
Zr 0.9844 0.9844 0.9844  3 Os 2.74
Os 0.2500 0.2500 0.2500  6 Zr 2.74
Y 0.7500 0.7500 0.7500  6 Y 3.32, 6 Zr 3.45

Polymorph energy (0 for the lowest one) in eV/atom: 0.331
DFT formation energy in eV/atom: 0.1112
Calculated volume in Å³/atom: 23.01
Electronic total energy in eV/cell: -34.3